A relaxed structure of YIn2W. Source: the Alexandria database, functional PBE.

Lattice parameters (Å, degrees): 10.3782 10.3782 10.3782 17.55 17.55 17.55
Atoms (fractional coordinates):
Y 0.7500 0.7500 0.7500
In 0.5075 0.5075 0.5075
In 0.9925 0.9925 0.9925
W 0.2500 0.2500 0.2500

Calculated values
Energy relative to the lowest polymorph listed for this composition ... 168 meV per atom
Raw total energy ... -23.461 eV/cell